First-principles (PBE) data for a relaxed TlSi crystal, as listed in Alexandria.

Calculated total energy = -108.457 eV per cell
Space group = No. 70

a = 8.9130 Å, b = 14.2568 Å, c = 6.3175 Å
α = 90.00°, β = 90.00°, γ = 90.00°
Sites, in units of the cell vectors:
1 Tl 0.3284 0.0000 0.0000
2 Tl 0.6716 0.0000 0.0000
3 Tl 0.9216 0.7500 0.2500
4 Tl 0.5784 0.7500 0.2500
5 Tl 0.3284 0.5000 0.5000
6 Tl 0.6716 0.5000 0.5000
7 Tl 0.9216 0.2500 0.7500
8 Tl 0.5784 0.2500 0.7500
9 Tl 0.8284 0.0000 0.5000
10 Tl 0.1716 0.0000 0.5000
11 Tl 0.4216 0.7500 0.7500
12 Tl 0.0784 0.7500 0.7500
13 Tl 0.8284 0.5000 0.0000
14 Tl 0.1716 0.5000 0.0000
15 Tl 0.4216 0.2500 0.2500
16 Tl 0.0784 0.2500 0.2500
17 Si 0.0000 0.9167 0.0000
18 Si 0.0000 0.0833 0.0000
19 Si 0.2500 0.8333 0.2500
20 Si 0.2500 0.6667 0.2500
21 Si 0.0000 0.4167 0.5000
22 Si 0.0000 0.5833 0.5000
23 Si 0.2500 0.3333 0.7500
24 Si 0.2500 0.1667 0.7500
25 Si 0.5000 0.9167 0.5000
26 Si 0.5000 0.0833 0.5000
27 Si 0.7500 0.8333 0.7500
28 Si 0.7500 0.6667 0.7500
29 Si 0.5000 0.4167 0.0000
30 Si 0.5000 0.5833 0.0000
31 Si 0.7500 0.3333 0.2500
32 Si 0.7500 0.1667 0.2500

***

First-principles (PBE) data for a relaxed Tl2Si crystal, as listed in Alexandria.

Distance to the lowest polymorph of the same formula = 240.7 meV/atom
Space group = No. 123

a = 4.9887 Å, b = 4.9887 Å, c = 3.5025 Å
α = 90.00°, β = 90.00°, γ = 90.00°
Sites, in units of the cell vectors:
1 Si 0.0000 0.0000 0.0000
2 Tl 0.0000 0.5000 0.5000
3 Tl 0.5000 0.0000 0.5000

***

First-principles (PBE) data for a relaxed TlSi crystal, as listed in Alexandria.

Calculated total energy = -25.711 eV per cell
Space group = No. 194

a = 5.5043 Å, b = 5.5043 Å, c = 8.1641 Å
α = 90.00°, β = 90.00°, γ = 120.00°
Sites, in units of the cell vectors:
1 Tl 0.0000 0.0000 0.2500
2 Tl 0.0000 0.0000 0.7500
3 Tl 0.3333 0.6667 0.7500
4 Tl 0.6667 0.3333 0.2500
5 Si 0.3333 0.6667 0.1059
6 Si 0.6667 0.3333 0.6059
7 Si 0.6667 0.3333 0.8941
8 Si 0.3333 0.6667 0.3941

***

First-principles (PBE) data for a relaxed TlSi crystal, as listed in Alexandria.

Calculated total energy = -25.752 eV per cell
Space group = No. 225

a = 5.7706 Å, b = 5.7706 Å, c = 5.7706 Å
α = 90.00°, β = 90.00°, γ = 90.00°
Sites, in units of the cell vectors:
1 Tl 0.5000 0.5000 0.5000
2 Tl 0.5000 0.0000 0.0000
3 Tl 0.0000 0.5000 0.0000
4 Tl 0.0000 0.0000 0.5000
5 Si 0.0000 0.0000 0.0000
6 Si 0.0000 0.5000 0.5000
7 Si 0.5000 0.0000 0.5000
8 Si 0.5000 0.5000 0.0000

***

First-principles (PBE) data for a relaxed Tl3Si crystal, as listed in Alexandria.

Distance to the lowest polymorph of the same formula = 20.2 meV/atom
Space group = No. 44

a = 6.1376 Å, b = 6.1376 Å, c = 6.1376 Å
α = 146.69°, β = 115.09°, γ = 74.94°
Sites, in units of the cell vectors:
1 Si 0.9306 0.0000 0.9306
2 Tl 0.5717 0.5000 0.0717
3 Tl 0.9686 0.3031 0.6655
4 Tl 0.3624 0.6969 0.6655

***

First-principles (PBE) data for a relaxed TlSi2 crystal, as listed in Alexandria.

Distance to the lowest polymorph of the same formula = 182.3 meV/atom
Space group = No. 141

a = 7.2952 Å, b = 7.2952 Å, c = 7.2952 Å
α = 143.73°, β = 143.73°, γ = 52.23°
Sites, in units of the cell vectors:
1 Tl 0.0000 0.0000 0.0000
2 Tl 0.7500 0.2500 0.5000
3 Si 0.5915 0.5915 0.0000
4 Si 0.1585 0.6585 0.5000
5 Si 0.4085 0.4085 0.0000
6 Si 0.3415 0.8415 0.5000

***

First-principles (PBE) data for a relaxed TlSi crystal, as listed in Alexandria.

Calculated total energy = -6.489 eV per cell
Space group = No. 65

a = 3.2735 Å, b = 3.2735 Å, c = 4.4269 Å
α = 90.00°, β = 90.00°, γ = 100.09°
Sites, in units of the cell vectors:
1 Si 0.0000 0.0000 0.0000
2 Tl 0.5000 0.5000 0.5000

***

First-principles (PBE) data for a relaxed TlSi crystal, as listed in Alexandria.

Calculated total energy = -28.851 eV per cell
Space group = No. 194

a = 3.9632 Å, b = 3.9632 Å, c = 15.5630 Å
α = 90.00°, β = 90.00°, γ = 120.00°
Sites, in units of the cell vectors:
1 Tl 0.3333 0.6667 0.0863
2 Tl 0.6667 0.3333 0.5863
3 Tl 0.6667 0.3333 0.9137
4 Tl 0.3333 0.6667 0.4137
5 Si 0.0000 0.0000 0.2500
6 Si 0.0000 0.0000 0.7500
7 Si 0.3333 0.6667 0.7500
8 Si 0.6667 0.3333 0.2500

***

First-principles (PBE) data for a relaxed TlSi crystal, as listed in Alexandria.

Calculated total energy = -37.068 eV per cell
Space group = No. 223

a = 7.6265 Å, b = 7.6265 Å, c = 7.6265 Å
α = 90.00°, β = 90.00°, γ = 90.00°
Sites, in units of the cell vectors:
1 Tl 0.2500 0.5000 0.0000
2 Tl 0.7500 0.5000 0.0000
3 Tl 0.5000 0.0000 0.2500
4 Tl 0.5000 0.0000 0.7500
5 Tl 0.0000 0.2500 0.5000
6 Tl 0.0000 0.7500 0.5000
7 Si 0.2500 0.0000 0.5000
8 Si 0.7500 0.0000 0.5000
9 Si 0.0000 0.5000 0.2500
10 Si 0.0000 0.5000 0.7500
11 Si 0.5000 0.2500 0.0000
12 Si 0.5000 0.7500 0.0000

***

First-principles (PBE) data for a relaxed TlSi crystal, as listed in Alexandria.

Calculated total energy = -14.595 eV per cell
Space group = No. 129

a = 3.5226 Å, b = 3.5240 Å, c = 8.1694 Å
α = 90.00°, β = 90.00°, γ = 90.00°
Sites, in units of the cell vectors:
1 Si 0.0000 0.0000 0.9166
2 Si 0.5000 0.5000 0.9167
3 Tl 0.5000 0.0000 0.5946
4 Tl 0.0000 0.5000 0.2387

***

First-principles (PBE) data for a relaxed TlSi crystal, as listed in Alexandria.

Calculated total energy = -6.432 eV per cell
Space group = No. 187

a = 3.2447 Å, b = 3.2447 Å, c = 5.0932 Å
α = 90.00°, β = 90.00°, γ = 120.00°
Sites, in units of the cell vectors:
1 Si 0.0000 0.0000 0.0000
2 Tl 0.6667 0.3333 0.5000

***

First-principles (PBE) data for a relaxed TlSi crystal, as listed in Alexandria.

Calculated total energy = -26.825 eV per cell
Space group = No. 136

a = 6.2912 Å, b = 6.2912 Å, c = 5.3624 Å
α = 90.00°, β = 90.00°, γ = 90.00°
Sites, in units of the cell vectors:
1 Tl 0.1940 0.1940 0.0000
2 Tl 0.6940 0.3060 0.5000
3 Tl 0.3060 0.6940 0.5000
4 Tl 0.8060 0.8060 0.0000
5 Si 0.3666 0.6334 0.0000
6 Si 0.8666 0.8666 0.5000
7 Si 0.1334 0.1334 0.5000
8 Si 0.6334 0.3666 0.0000